Model one:
Crystalline LiIn6Sn2 at its relaxed geometry. Source: the Alexandria database, functional PBE.

a = 8.735 Å, b = 8.735 Å, c = 4.675 Å
α = 105.32°, β = 105.32°, γ = 49.29°
Fractional coordinates of all 9 atoms:
Li  0.000  0.000  0.000
In  0.072  0.616  0.843
In  0.246  0.754  0.500
In  0.384  0.928  0.157
In  0.616  0.072  0.843
In  0.754  0.246  0.500
In  0.928  0.384  0.157
Sn  0.330  0.330  0.328
Sn  0.670  0.670  0.672


Model two:
Crystalline LiIn6Sn2 at its relaxed geometry. Source: the Alexandria database, functional PBE.

a = 7.202 Å, b = 7.202 Å, c = 7.967 Å
α = 106.36°, β = 106.36°, γ = 36.35°
Fractional coordinates of all 9 atoms:
Li  0.000  0.000  0.000
In  0.113  0.113  0.674
In  0.219  0.219  0.331
In  0.336  0.336  0.996
In  0.664  0.664  0.004
In  0.781  0.781  0.669
In  0.887  0.887  0.326
Sn  0.451  0.451  0.679
Sn  0.549  0.549  0.321


Of them, the most stable is model two and the least stable is model one.


Model one:
Crystalline Li3In3Sn at its relaxed geometry. Source: the Alexandria database, functional PBE.

a = 12.660 Å, b = 4.557 Å, c = 10.571 Å
α = 90.00°, β = 90.00°, γ = 90.00°
Fractional coordinates of all 28 atoms:
Li  0.014  0.250  0.117
Li  0.075  0.250  0.480
Li  0.203  0.250  0.282
Li  0.297  0.750  0.782
Li  0.425  0.750  0.980
Li  0.486  0.750  0.617
Li  0.514  0.250  0.383
Li  0.575  0.250  0.020
Li  0.703  0.250  0.218
Li  0.797  0.750  0.718
Li  0.925  0.750  0.520
Li  0.986  0.750  0.883
In  0.126  0.750  0.630
In  0.158  0.250  0.862
In  0.195  0.750  0.064
In  0.305  0.250  0.564
In  0.342  0.750  0.362
In  0.374  0.250  0.130
In  0.626  0.750  0.870
In  0.658  0.250  0.638
In  0.695  0.750  0.436
In  0.805  0.250  0.936
In  0.842  0.750  0.138
In  0.874  0.250  0.370
Sn  0.066  0.750  0.308
Sn  0.434  0.250  0.808
Sn  0.566  0.750  0.192
Sn  0.934  0.250  0.692


Model two:
Crystalline Li3In3Sn at its relaxed geometry. Source: the Alexandria database, functional PBE.

a = 8.322 Å, b = 8.322 Å, c = 5.303 Å
α = 90.00°, β = 90.00°, γ = 120.00°
Fractional coordinates of all 14 atoms:
Li  0.042  0.797  0.250
Li  0.203  0.246  0.250
Li  0.246  0.042  0.750
Li  0.754  0.958  0.250
Li  0.797  0.754  0.750
Li  0.958  0.203  0.750
In  0.087  0.644  0.750
In  0.356  0.443  0.750
In  0.443  0.087  0.250
In  0.557  0.913  0.750
In  0.644  0.557  0.250
In  0.913  0.356  0.250
Sn  0.333  0.667  0.250
Sn  0.667  0.333  0.750


Of them, the most stable is model one and the least stable is model two.


Model one:
Crystalline Li3InSn3 at its relaxed geometry. Source: the Alexandria database, functional PBE.

a = 7.413 Å, b = 7.413 Å, c = 7.413 Å
α = 90.00°, β = 90.00°, γ = 90.00°
Fractional coordinates of all 14 atoms:
Li  0.000  0.250  0.500
Li  0.000  0.750  0.500
Li  0.250  0.500  0.000
Li  0.500  0.000  0.250
Li  0.500  0.000  0.750
Li  0.750  0.500  0.000
In  0.000  0.000  0.000
In  0.500  0.500  0.500
Sn  0.000  0.500  0.250
Sn  0.000  0.500  0.750
Sn  0.250  0.000  0.500
Sn  0.500  0.250  0.000
Sn  0.500  0.750  0.000
Sn  0.750  0.000  0.500


Model two:
Crystalline Li3InSn3 at its relaxed geometry. Source: the Alexandria database, functional PBE.

a = 7.823 Å, b = 7.823 Å, c = 6.883 Å
α = 105.78°, β = 105.78°, γ = 112.08°
Fractional coordinates of all 14 atoms:
Li  0.134  0.866  0.000
Li  0.304  0.696  0.500
Li  0.418  0.418  0.141
Li  0.582  0.582  0.859
Li  0.696  0.304  0.500
Li  0.866  0.134  0.000
In  0.106  0.106  0.750
In  0.894  0.894  0.250
Sn  0.146  0.501  0.785
Sn  0.276  0.276  0.441
Sn  0.499  0.854  0.215
Sn  0.501  0.146  0.785
Sn  0.724  0.724  0.559
Sn  0.854  0.499  0.215


Of them, the most stable is model two and the least stable is model one.


Model one:
Crystalline Li6In3Sn at its relaxed geometry. Source: the Alexandria database, functional PBE.

a = 7.689 Å, b = 7.689 Å, c = 7.125 Å
α = 90.00°, β = 90.00°, γ = 93.76°
Fractional coordinates of all 20 atoms:
Li  0.047  0.953  0.500
Li  0.063  0.413  0.042
Li  0.235  0.337  0.371
Li  0.307  0.693  0.476
Li  0.337  0.235  0.871
Li  0.413  0.063  0.542
Li  0.587  0.937  0.042
Li  0.663  0.765  0.371
Li  0.693  0.307  0.976
Li  0.765  0.663  0.871
Li  0.937  0.587  0.542
Li  0.953  0.047  0.000
In  0.012  0.278  0.691
In  0.278  0.012  0.191
In  0.423  0.577  0.094
In  0.577  0.423  0.594
In  0.722  0.988  0.691
In  0.988  0.722  0.191
Sn  0.192  0.808  0.836
Sn  0.808  0.192  0.336


Model two:
Crystalline Li6In3Sn at its relaxed geometry. Source: the Alexandria database, functional PBE.

a = 8.101 Å, b = 4.789 Å, c = 10.697 Å
α = 90.00°, β = 111.64°, γ = 90.00°
Fractional coordinates of all 20 atoms:
Li  0.013  0.250  0.162
Li  0.180  0.750  0.626
Li  0.191  0.250  0.973
Li  0.391  0.750  0.424
Li  0.401  0.250  0.772
Li  0.408  0.250  0.269
Li  0.592  0.750  0.731
Li  0.599  0.750  0.228
Li  0.609  0.250  0.576
Li  0.809  0.750  0.027
Li  0.820  0.250  0.374
Li  0.987  0.750  0.838
In  0.009  0.250  0.674
In  0.226  0.250  0.478
In  0.387  0.750  0.919
In  0.613  0.250  0.081
In  0.774  0.750  0.522
In  0.991  0.750  0.326
Sn  0.213  0.750  0.136
Sn  0.787  0.250  0.864


Of them, the most stable is model two and the least stable is model one.